The following is a DFT calculation (PBE-GGA) of an optimized crystal structure of NaTbHg3Se4.

a = 7.5189 Å, b = 7.6692 Å, c = 10.9166 Å
α = 90.00°, β = 110.08°, γ = 90.00°
Closest atoms and distances in Å follow each position.
Space group P2_1/m (No. 11)
Asymmetric unit:
Na: 0.1567 0.2500 0.1723 x2  4 Se 2.85-3.03
Tb: 0.2461 0.2500 0.7079 x2  4 Se 2.72-2.85
Hg: 0.2718 0.7500 0.2234 x2  3 Se 2.55-2.70
Hg: 0.2842 0.5688 0.4891 x4  1 Hg 2.78, 2 Se 2.78-2.81
Se: 0.0852 0.2500 0.8983 x2  1 Hg 2.55, 1 Tb 2.74, 1 Na 2.85
Se: 0.0975 0.2500 0.4296 x2  2 Hg 2.78, 1 Tb 2.85, 1 Na 2.99
Se: 0.4927 0.5228 0.7556 x4  2 Hg 2.70-2.81, 1 Tb 2.72

Values from the calculation:
Magnetization (μB per formula unit): 0.003
Raw total energy (eV/cell): -53.19

***

The following is a DFT calculation (PBE-GGA) of an optimized crystal structure of PIrPdO.

a = 4.0187 Å, b = 4.0187 Å, c = 7.3578 Å
α = 90.00°, β = 90.00°, γ = 90.00°
Closest atoms and distances in Å follow each position.
Space group P4/nmm (No. 129, origin choice 2)
Asymmetric unit:
P: 0.2500 0.2500 0.1689 x2  4 Ir 2.36
Ir: 0.2500 0.7500 0.0000 x2  4 P 2.36
Pd: 0.2500 0.2500 0.5762 x2  4 O 2.09
O: 0.2500 0.7500 0.5000 x2  4 Pd 2.09

Values from the calculation:
Magnetization (μB per formula unit): 0.001
Raw total energy (eV/cell): -50.17

***

The following is a DFT calculation (PBE-GGA) of an optimized crystal structure of PrScAl4Ni2.

a = 6.8743 Å, b = 4.0672 Å, c = 10.1219 Å
α = 90.00°, β = 90.00°, γ = 90.00°
Closest atoms and distances in Å follow each position.
Space group Amm2 (No. 38)
Asymmetric unit:
Pr: 0.0000 0.0000 0.0000 x2  3 Ni 2.81-3.03, 4 Al 3.12
Sc: 0.5000 0.0000 0.1218 x2  3 Ni 2.78-3.06, 4 Al 3.02
Al: 0.2054 0.0000 0.7145 x4  3 Ni 2.43-2.56
Al: 0.3112 0.0000 0.4014 x4  3 Ni 2.47-2.48, 1 Al 2.60
Ni: 0.0000 0.0000 0.2778 x2  6 Al 2.48-2.56
Ni: 0.5000 0.0000 0.8472 x2  6 Al 2.43-2.47

Values from the calculation:
Magnetization (μB per formula unit): 0.001
Raw total energy (eV/cell): -83.67